<1>
Density functional theory data (GGA+U) for crystalline NaCoTeO at its relaxed geometry.

Unit cell a=3.5965 b=7.6506 c=6.1787 alpha=90.00 beta=90.00 gamma=90.00
Last column: nearest neighbours and their distance in Å.
Element x y z (fractional)
1 O 0.5000 0.0945 0.2066  2 Co 1.83-1.86
2 Na 0.0000 0.2741 0.1359  2 O 2.31
3 Te 0.0000 0.3070 0.6418  2 Co 2.62
4 Te 0.0000 0.6930 0.1418  2 Co 2.62
5 Co 0.5000 0.9177 0.0067  2 O 1.83-1.86
6 O 0.5000 0.9055 0.7066  2 Co 1.83-1.86
7 Co 0.5000 0.0823 0.5067  2 O 1.83-1.86
8 Na 0.0000 0.7259 0.6359  2 O 2.31

* symmetry: No. 26
* ρ: 4.4 g/cm3



<2>
Density functional theory data (GGA+U) for crystalline NaCoTeO at its relaxed geometry.

Unit cell a=3.9620 b=3.9620 c=10.6816 alpha=90.00 beta=90.00 gamma=90.00
Last column: nearest neighbours and their distance in Å.
Element x y z (fractional)
1 Te 0.2500 0.2500 0.7112  1 Co 2.67
2 Te 0.7500 0.7500 0.2888  1 Co 2.67
3 Co 0.7500 0.7500 0.0393  4 O 2.02
4 Na 0.2500 0.7500 0.5000  4 Na 2.80, 4 Te 3.00
5 O 0.2500 0.7500 0.0000  4 Co 2.02
6 Co 0.2500 0.2500 0.9607  4 O 2.02
7 Na 0.7500 0.2500 0.5000  4 Na 2.80, 4 Te 3.00
8 O 0.7500 0.2500 0.0000  4 Co 2.02

* symmetry: No. 129
* ρ: 4.5 g/cm3



Most stable: <1>. Least stable: <2>.